(1)
The following is a PBE calculation of an optimized crystal structure of CaIrW3, from Alexandria.

Cell: 4.851 4.851 4.851 Å, 90.00 90.00 90.00°
Element x y z (fractional)
Ca: 0.000 0.000 0.000
Ir: 0.500 0.500 0.500
W: 0.000 0.500 0.500
W: 0.500 0.000 0.500
W: 0.500 0.500 0.000

Calculated values
ΔE to the lowest computed polymorph (eV/atom): 0.000
Calculated density (g/cm3): 11.404
Calculated formation energy (kJ per mole of atoms): 151.61
E (eV/atom): -8.37

=====

(2)
The following is a PBE calculation of an optimized crystal structure of Ca2IrW, from Alexandria.

Cell: 3.294 3.298 9.088 Å, 90.00 90.10 90.00°
Element x y z (fractional)
Ca: 0.000 0.000 0.000
Ca: 0.498 0.500 0.381
Ir: 0.999 0.000 0.621
W: 0.499 0.500 0.746

Calculated values
ΔE to the lowest computed polymorph (eV/atom): 0.107
Calculated density (g/cm3): 7.674
Calculated formation energy (kJ per mole of atoms): 15.10
E (eV/atom): -6.30

=====

(3)
The following is a PBE calculation of an optimized crystal structure of Ca2IrW, from Alexandria.

Cell: 3.128 4.903 10.336 Å, 90.00 90.00 90.00°
Element x y z (fractional)
Ca: 0.000 0.000 0.223
Ca: 0.000 0.000 0.777
Ca: 0.500 0.500 0.277
Ca: 0.500 0.500 0.723
Ir: 0.000 0.500 0.500
Ir: 0.500 0.000 0.000
W: 0.000 0.500 0.000
W: 0.500 0.000 0.500

Calculated values
ΔE to the lowest computed polymorph (eV/atom): 0.523
Calculated density (g/cm3): 9.558
Calculated formation energy (kJ per mole of atoms): 55.15
E (eV/atom): -5.88